(1)
Compound: AgPt2Au8
Source: Alexandria
Functional: PBE
Structure: optimized geometry

Output
- D(E_F) (states/eV per atom) = 0.2919
- distance to the lowest polymorph of the same formula (eV per formula unit) = 0.71
- raw total energy (eV per atom) = -3.67

a b c (Å): 6.938 6.938 4.416
angles (deg): 90.00 90.00 105.71
Sites, in units of the cell vectors:
1 Ag 0.000 0.000 0.000
2 Pt 0.381 0.619 0.500
3 Pt 0.619 0.381 0.500
4 Au 0.034 0.303 0.500
5 Au 0.248 0.752 0.000
6 Au 0.303 0.034 0.500
7 Au 0.332 0.332 0.000
8 Au 0.668 0.668 0.000
9 Au 0.697 0.966 0.500
10 Au 0.752 0.248 0.000
11 Au 0.966 0.697 0.500

(2)
Compound: Ag2PtAu2
Source: Alexandria
Functional: PBE
Structure: optimized geometry

Output
- D(E_F) (states/eV per atom) = 0.3060
- distance to the lowest polymorph of the same formula (eV per formula unit) = 0.00
- raw total energy (eV per atom) = -3.66

a b c (Å): 5.044 5.591 6.932
angles (deg): 105.21 111.25 90.77
Sites, in units of the cell vectors:
1 Ag 0.086 0.251 0.002
2 Ag 0.113 0.152 0.399
3 Ag 0.887 0.848 0.601
4 Ag 0.914 0.749 0.998
5 Pt 0.489 0.056 0.812
6 Pt 0.511 0.944 0.188
7 Au 0.295 0.669 0.408
8 Au 0.317 0.551 0.799
9 Au 0.683 0.449 0.201
10 Au 0.705 0.331 0.592

(3)
Compound: AgPt2Au8
Source: Alexandria
Functional: PBE
Structure: optimized geometry

Output
- D(E_F) (states/eV per atom) = 0.3697
- distance to the lowest polymorph of the same formula (eV per formula unit) = 0.00
- raw total energy (eV per atom) = -3.73

a b c (Å): 7.725 7.725 6.484
angles (deg): 104.49 104.49 31.00
Sites, in units of the cell vectors:
1 Ag 0.000 0.000 0.000
2 Pt 0.272 0.272 0.367
3 Pt 0.728 0.728 0.633
4 Au 0.093 0.093 0.458
5 Au 0.183 0.183 0.912
6 Au 0.363 0.363 0.812
7 Au 0.452 0.452 0.271
8 Au 0.548 0.548 0.729
9 Au 0.637 0.637 0.188
10 Au 0.817 0.817 0.088
11 Au 0.907 0.907 0.542

(4)
Compound: AgPtAu3
Source: Alexandria
Functional: PBE
Structure: optimized geometry

Output
- D(E_F) (states/eV per atom) = 0.4661
- distance to the lowest polymorph of the same formula (eV per formula unit) = 0.43
- raw total energy (eV per atom) = -3.65

a b c (Å): 7.649 7.649 8.048
angles (deg): 117.32 117.32 74.21
Sites, in units of the cell vectors:
1 Ag 0.039 0.961 0.750
2 Ag 0.434 0.566 0.250
3 Ag 0.566 0.434 0.750
4 Ag 0.961 0.039 0.250
5 Pt 0.166 0.564 0.695
6 Pt 0.436 0.834 0.805
7 Pt 0.564 0.166 0.195
8 Pt 0.834 0.436 0.305
9 Au 0.034 0.662 0.996
10 Au 0.111 0.680 0.395
11 Au 0.267 0.285 0.361
12 Au 0.285 0.267 0.861
13 Au 0.320 0.889 0.105
14 Au 0.338 0.966 0.504
15 Au 0.662 0.034 0.496
16 Au 0.680 0.111 0.895
17 Au 0.715 0.733 0.139
18 Au 0.733 0.715 0.639
19 Au 0.889 0.320 0.605
20 Au 0.966 0.338 0.004

(5)
Compound: AgPt3Au12
Source: Alexandria
Functional: PBE
Structure: optimized geometry

Output
- D(E_F) (states/eV per atom) = 0.2886
- raw total energy (eV per atom) = -3.75

a b c (Å): 4.165 4.165 16.130
angles (deg): 90.00 90.00 90.00
Sites, in units of the cell vectors:
1 Ag 0.000 0.000 0.000
2 Pt 0.000 0.000 0.252
3 Pt 0.000 0.000 0.500
4 Pt 0.000 0.000 0.748
5 Au 0.000 0.500 0.127
6 Au 0.000 0.500 0.376
7 Au 0.000 0.500 0.624
8 Au 0.000 0.500 0.873
9 Au 0.500 0.000 0.127
10 Au 0.500 0.000 0.376
11 Au 0.500 0.000 0.624
12 Au 0.500 0.000 0.873
13 Au 0.500 0.500 0.000
14 Au 0.500 0.500 0.252
15 Au 0.500 0.500 0.500
16 Au 0.500 0.500 0.748

(6)
Compound: AgPt2Au3
Source: Alexandria
Functional: PBE
Structure: optimized geometry

Output
- D(E_F) (states/eV per atom) = 0.5399
- raw total energy (eV per atom) = -4.06

a b c (Å): 9.549 9.549 8.425
angles (deg): 110.03 110.03 16.93
Sites, in units of the cell vectors:
1 Ag 0.186 0.186 0.041
2 Ag 0.814 0.814 0.959
3 Pt 0.193 0.193 0.376
4 Pt 0.430 0.430 0.864
5 Pt 0.570 0.570 0.136
6 Pt 0.807 0.807 0.624
7 Au 0.058 0.058 0.435
8 Au 0.191 0.191 0.712
9 Au 0.431 0.431 0.209
10 Au 0.569 0.569 0.791
11 Au 0.809 0.809 0.288
12 Au 0.942 0.942 0.565

(7)
Compound: Ag5PtAu3
Source: Alexandria
Functional: PBE
Structure: optimized geometry

Output
- D(E_F) (states/eV per atom) = 0.1965
- raw total energy (eV per atom) = -3.12

a b c (Å): 5.833 5.833 11.123
angles (deg): 96.27 96.27 85.79
Sites, in units of the cell vectors:
1 Ag 0.047 0.047 0.301
2 Ag 0.089 0.539 0.321
3 Ag 0.171 0.829 0.000
4 Ag 0.208 0.208 0.869
5 Ag 0.461 0.911 0.679
6 Ag 0.539 0.089 0.321
7 Ag 0.792 0.792 0.131
8 Ag 0.829 0.171 0.000
9 Ag 0.911 0.461 0.679
10 Ag 0.953 0.953 0.699
11 Pt 0.444 0.444 0.734
12 Pt 0.556 0.556 0.266
13 Au 0.186 0.186 0.535
14 Au 0.257 0.257 0.130
15 Au 0.500 0.500 0.000
16 Au 0.500 0.500 0.500
17 Au 0.743 0.743 0.870
18 Au 0.814 0.814 0.465

(8)
Compound: AgPtAu2
Source: Alexandria
Functional: PBE
Structure: optimized geometry

Output
- D(E_F) (states/eV per atom) = 0.4059
- distance to the lowest polymorph of the same formula (eV per formula unit) = 0.12
- raw total energy (eV per atom) = -3.85

a b c (Å): 4.138 4.138 8.070
angles (deg): 90.00 90.00 90.00
Sites, in units of the cell vectors:
1 Ag 0.000 0.000 0.000
2 Ag 0.500 0.500 0.500
3 Pt 0.000 0.500 0.250
4 Pt 0.500 0.000 0.750
5 Au 0.000 0.000 0.500
6 Au 0.000 0.500 0.750
7 Au 0.500 0.000 0.250
8 Au 0.500 0.500 0.000

(9)
Compound: Ag4PtAu5
Source: Alexandria
Functional: PBE
Structure: optimized geometry

Output
- D(E_F) (states/eV per atom) = 0.3121
- distance to the lowest polymorph of the same formula (eV per formula unit) = 1.18
- raw total energy (eV per atom) = -3.29

a b c (Å): 8.953 9.199 4.741
angles (deg): 90.00 90.00 90.00
Sites, in units of the cell vectors:
1 Ag 0.080 0.250 0.166
2 Ag 0.250 0.547 0.253
3 Ag 0.250 0.953 0.253
4 Ag 0.420 0.250 0.166
5 Ag 0.580 0.750 0.834
6 Ag 0.750 0.047 0.747
7 Ag 0.750 0.453 0.747
8 Ag 0.920 0.750 0.834
9 Pt 0.250 0.250 0.654
10 Pt 0.750 0.750 0.346
11 Au 0.080 0.013 0.749
12 Au 0.080 0.487 0.749
13 Au 0.250 0.750 0.767
14 Au 0.420 0.013 0.749
15 Au 0.420 0.487 0.749
16 Au 0.580 0.513 0.251
17 Au 0.580 0.987 0.251
18 Au 0.750 0.250 0.233
19 Au 0.920 0.513 0.251
20 Au 0.920 0.987 0.251

(10)
Compound: Ag2Pt2Au7
Source: Alexandria
Functional: PBE
Structure: optimized geometry

Output
- D(E_F) (states/eV per atom) = 0.4572
- distance to the lowest polymorph of the same formula (eV per formula unit) = 0.00
- raw total energy (eV per atom) = -3.62

a b c (Å): 6.760 6.760 5.032
angles (deg): 108.75 108.75 89.64
Sites, in units of the cell vectors:
1 Ag 0.167 0.833 0.000
2 Ag 0.833 0.167 0.000
3 Pt 0.263 0.263 0.034
4 Pt 0.737 0.737 0.966
5 Au 0.000 0.000 0.500
6 Au 0.076 0.581 0.323
7 Au 0.408 0.408 0.670
8 Au 0.419 0.924 0.677
9 Au 0.581 0.076 0.323
10 Au 0.592 0.592 0.330
11 Au 0.924 0.419 0.677

(11)
Compound: AgPtAu
Source: Alexandria
Functional: PBE
Structure: optimized geometry

Output
- D(E_F) (states/eV per atom) = 0.7248
- distance to the lowest polymorph of the same formula (eV per formula unit) = 0.09
- raw total energy (eV per atom) = -4.03

a b c (Å): 2.844 2.844 12.643
angles (deg): 90.00 90.00 90.00
Sites, in units of the cell vectors:
1 Ag 0.000 0.000 0.000
2 Ag 0.500 0.500 0.500
3 Pt 0.000 0.000 0.664
4 Pt 0.500 0.500 0.164
5 Au 0.000 0.000 0.328
6 Au 0.500 0.500 0.828

(12)
Compound: AgPt3Au
Source: Alexandria
Functional: PBE
Structure: optimized geometry

Output
- D(E_F) (states/eV per atom) = 1.2451
- distance to the lowest polymorph of the same formula (eV per formula unit) = 0.00
- raw total energy (eV per atom) = -3.47

a b c (Å): 4.958 4.958 4.958
angles (deg): 90.00 90.00 90.00
Sites, in units of the cell vectors:
1 Ag 0.000 0.000 0.000
2 Pt 0.000 0.500 0.500
3 Pt 0.500 0.000 0.500
4 Pt 0.500 0.500 0.000
5 Au 0.500 0.500 0.500

(13)
Compound: Ag3PtAu4
Source: Alexandria
Functional: PBE
Structure: optimized geometry

Output
- D(E_F) (states/eV per atom) = 0.2418
- distance to the lowest polymorph of the same formula (eV per formula unit) = 0.00
- raw total energy (eV per atom) = -3.49

a b c (Å): 8.622 8.620 4.166
angles (deg): 76.04 75.99 27.97
Sites, in units of the cell vectors:
1 Ag 0.000 0.000 0.000
2 Ag 0.251 0.251 0.749
3 Ag 0.749 0.749 0.251
4 Pt 0.500 0.500 0.500
5 Au 0.123 0.123 0.377
6 Au 0.377 0.377 0.123
7 Au 0.623 0.623 0.877
8 Au 0.877 0.877 0.623

(14)
Compound: AgPtAu2
Source: Alexandria
Functional: PBE
Structure: optimized geometry

Output
- D(E_F) (states/eV per atom) = 0.5055
- distance to the lowest polymorph of the same formula (eV per formula unit) = 0.34
- raw total energy (eV per atom) = -3.79

a b c (Å): 6.526 6.526 6.526
angles (deg): 90.00 90.00 90.00
Sites, in units of the cell vectors:
1 Ag 0.000 0.000 0.000
2 Ag 0.000 0.500 0.500
3 Ag 0.500 0.000 0.500
4 Ag 0.500 0.500 0.000
5 Pt 0.250 0.250 0.750
6 Pt 0.250 0.750 0.250
7 Pt 0.750 0.250 0.250
8 Pt 0.750 0.750 0.750
9 Au 0.000 0.000 0.500
10 Au 0.000 0.500 0.000
11 Au 0.250 0.250 0.250
12 Au 0.250 0.750 0.750
13 Au 0.500 0.000 0.000
14 Au 0.500 0.500 0.500
15 Au 0.750 0.250 0.750
16 Au 0.750 0.750 0.250

(15)
Compound: AgPt2Au2
Source: Alexandria
Functional: PBE
Structure: optimized geometry

Output
- D(E_F) (states/eV per atom) = 0.8675
- distance to the lowest polymorph of the same formula (eV per formula unit) = 0.00
- raw total energy (eV per atom) = -4.13

a b c (Å): 7.737 7.737 3.031
angles (deg): 90.00 90.00 90.00
Sites, in units of the cell vectors:
1 Ag 0.000 0.000 0.000
2 Ag 0.500 0.500 0.000
3 Pt 0.127 0.373 0.000
4 Pt 0.373 0.873 0.000
5 Pt 0.627 0.127 0.000
6 Pt 0.873 0.627 0.000
7 Au 0.172 0.672 0.500
8 Au 0.328 0.172 0.500
9 Au 0.672 0.828 0.500
10 Au 0.828 0.328 0.500

(16)
Compound: AgPtAu
Source: Alexandria
Functional: PBE
Structure: optimized geometry

Output
- D(E_F) (states/eV per atom) = 0.3942
- distance to the lowest polymorph of the same formula (eV per formula unit) = 0.04
- raw total energy (eV per atom) = -4.05

a b c (Å): 4.154 4.904 5.760
angles (deg): 75.25 89.71 65.10
Sites, in units of the cell vectors:
1 Ag 0.169 0.162 0.083
2 Ag 0.831 0.838 0.917
3 Pt 0.165 0.171 0.577
4 Pt 0.835 0.829 0.423
5 Au 0.497 0.507 0.746
6 Au 0.503 0.493 0.254

(17)
Compound: Ag6PtAu
Source: Alexandria
Functional: PBE
Structure: optimized geometry

Output
- D(E_F) (states/eV per atom) = 0.2464
- distance to the lowest polymorph of the same formula (eV per formula unit) = 2.58
- raw total energy (eV per atom) = -2.99

a b c (Å): 5.523 5.523 5.523
angles (deg): 86.35 86.35 86.35
Sites, in units of the cell vectors:
1 Ag 0.161 0.161 0.534
2 Ag 0.161 0.534 0.161
3 Ag 0.466 0.839 0.839
4 Ag 0.534 0.161 0.161
5 Ag 0.839 0.466 0.839
6 Ag 0.839 0.839 0.466
7 Pt 0.000 0.000 0.000
8 Au 0.500 0.500 0.500

(18)
Compound: Ag6Pt2Au
Source: Alexandria
Functional: PBE
Structure: optimized geometry

Output
- D(E_F) (states/eV per atom) = 0.2466
- distance to the lowest polymorph of the same formula (eV per formula unit) = 0.00
- raw total energy (eV per atom) = -3.60

a b c (Å): 5.072 5.072 8.725
angles (deg): 108.46 108.46 47.55
Sites, in units of the cell vectors:
1 Ag 0.002 0.002 0.168
2 Ag 0.330 0.330 0.944
3 Ag 0.332 0.332 0.612
4 Ag 0.668 0.668 0.388
5 Ag 0.670 0.670 0.056
6 Ag 0.998 0.998 0.832
7 Pt 0.336 0.336 0.279
8 Pt 0.664 0.664 0.721
9 Au 0.000 0.000 0.500

(19)
Compound: Ag3Pt2Au7
Source: Alexandria
Functional: PBE
Structure: optimized geometry

Output
- D(E_F) (states/eV per atom) = 0.2999
- raw total energy (eV per atom) = -3.56

a b c (Å): 2.862 4.899 16.779
angles (deg): 90.00 94.86 90.00
Sites, in units of the cell vectors:
1 Ag 0.000 0.000 0.000
2 Ag 0.343 0.500 0.685
3 Ag 0.657 0.500 0.315
4 Pt 0.145 0.000 0.290
5 Pt 0.855 0.000 0.710
6 Au 0.078 0.500 0.157
7 Au 0.285 0.000 0.570
8 Au 0.427 0.000 0.853
9 Au 0.500 0.500 0.000
10 Au 0.573 0.000 0.147
11 Au 0.715 0.000 0.430
12 Au 0.922 0.500 0.843

(20)
Compound: Ag6PtAu3
Source: Alexandria
Functional: PBE
Structure: optimized geometry

Output
- D(E_F) (states/eV per atom) = 0.2545
- distance to the lowest polymorph of the same formula (eV per formula unit) = 0.00
- raw total energy (eV per atom) = -3.23

a b c (Å): 9.113 9.113 5.210
angles (deg): 90.00 90.00 121.05
Sites, in units of the cell vectors:
1 Ag 0.036 0.446 0.924
2 Ag 0.059 0.941 0.500
3 Ag 0.294 0.381 0.104
4 Ag 0.299 0.701 0.226
5 Ag 0.381 0.294 0.604
6 Ag 0.446 0.036 0.424
7 Ag 0.554 0.964 0.924
8 Ag 0.619 0.706 0.104
9 Ag 0.701 0.299 0.726
10 Ag 0.706 0.619 0.604
11 Ag 0.941 0.059 0.000
12 Ag 0.964 0.554 0.424
13 Pt 0.219 0.781 0.739
14 Pt 0.781 0.219 0.239
15 Au 0.060 0.263 0.511
16 Au 0.263 0.060 0.011
17 Au 0.391 0.609 0.674
18 Au 0.609 0.391 0.174
19 Au 0.737 0.940 0.511
20 Au 0.940 0.737 0.011

(21)
Compound: Ag6PtAu3
Source: Alexandria
Functional: PBE
Structure: optimized geometry

Output
- D(E_F) (states/eV per atom) = 0.2695
- distance to the lowest polymorph of the same formula (eV per formula unit) = 0.94
- raw total energy (eV per atom) = -3.13

a b c (Å): 8.238 8.238 8.238
angles (deg): 112.15 112.15 112.15
Sites, in units of the cell vectors:
1 Ag 0.129 0.848 0.776
2 Ag 0.152 0.224 0.871
3 Ag 0.224 0.871 0.152
4 Ag 0.276 0.348 0.629
5 Ag 0.348 0.629 0.276
6 Ag 0.371 0.724 0.652
7 Ag 0.629 0.276 0.348
8 Ag 0.652 0.371 0.724
9 Ag 0.724 0.652 0.371
10 Ag 0.776 0.129 0.848
11 Ag 0.848 0.776 0.129
12 Ag 0.871 0.152 0.224
13 Pt 0.250 0.250 0.250
14 Pt 0.750 0.750 0.750
15 Au 0.027 0.473 0.750
16 Au 0.250 0.973 0.527
17 Au 0.473 0.750 0.027
18 Au 0.527 0.250 0.973
19 Au 0.750 0.027 0.473
20 Au 0.973 0.527 0.250